No. 1
5
Lattice="5.3540 0.0000 0.0000 0.0000 4.4576 0.0000 0.0000 0.0000 5.3540" Properties=species:S:1:pos:R:3 comment="TiTl2ZnSi | the Alexandria database | PBE-GGA | optimized geometry" formation_energy_uncorrected_ev_per_atom=0.881 pbc="T T T"
Si 0.0000 0.0000 0.0000
Ti 2.6770 2.2288 2.6770
Tl 0.0000 0.0000 2.6770
Zn 0.0000 2.2288 0.0000
Tl 2.6770 0.0000 0.0000



No. 2
4
Lattice="-1.4958 -0.5952 3.3227 -3.2964 -1.6405 0.2736 1.3728 -6.6673 1.4751" Properties=species:S:1:pos:R:3 comment="TmTiSi2 | the Alexandria database | PBE-GGA | optimized geometry" e_above_lowest_polymorph_mev_per_atom=222 formation_energy_uncorrected_ev_per_atom=-0.452 pbc="T T T"
Tm -1.7097 -4.4515 2.5357
Ti 0.0000 0.0000 0.0000
Si -0.9522 -2.0316 1.2588
Si -2.4672 -6.8713 3.8126



No. 3
18
Lattice="6.8065 -0.0196 0.0000 -2.2551 6.6341 0.0000 0.0000 0.0000 6.9900" Properties=species:S:1:pos:R:3 comment="Tm2Ti3Si4 | the Alexandria database | PBE-GGA | optimized geometry" formation_energy_uncorrected_ev_per_atom=-0.821 pbc="T T T"
Tm 1.1202 5.3679 4.6777
Si -0.2464 3.3482 6.1144
Si -1.1749 6.0765 3.2269
Si 1.3946 3.2761 2.6194
Si 5.7264 0.5381 3.7631
Si 3.1568 3.3384 4.3707
Ti 2.2757 3.3073 0.0000
Si 2.2283 6.0667 0.2681
Tm 4.5235 5.3582 5.8074
Tm 0.0280 1.2564 1.1827
Ti 1.1182 1.6907 4.7381
Si 2.3231 0.5478 6.7219
Tm 3.4312 1.2466 2.3123
Si 4.7979 3.2663 0.8756
Ti 0.0300 4.9336 1.2431
Ti 3.4332 4.9238 2.2519
Ti 4.5215 1.6809 5.7470
Ti -1.1276 3.3170 3.4950



No. 4
8
Lattice="3.7018 0.0000 0.0000 0.0000 5.3444 0.0000 0.0000 0.0000 7.2091" Properties=species:S:1:pos:R:3 comment="TmTiSi2 | the Alexandria database | PBE-GGA | optimized geometry" e_above_lowest_polymorph_mev_per_atom=0 formation_energy_uncorrected_ev_per_atom=-0.675 pbc="T T T"
Ti 1.8509 3.3463 5.8984
Tm 0.0000 0.6658 4.8886
Si 0.0000 2.1283 0.2956
Si 1.8509 0.6890 6.9402
Si 1.8509 4.6554 3.3356
Tm 0.0000 4.6786 1.2841
Ti 1.8509 1.9981 2.2938
Si 0.0000 3.2161 3.9002



No. 5
6
Lattice="3.9666 1.2380 0.0705 -0.1094 4.1539 0.0705 -1.8122 -2.5333 6.7544" Properties=species:S:1:pos:R:3 comment="UTiSi | the Alexandria database | PBE-GGA | optimized geometry" formation_energy_uncorrected_ev_per_atom=-0.006 pbc="T T T"
Ti 2.1619 0.6142 3.4477
U 1.0816 3.4111 1.3450
U -0.8340 0.7333 5.5504
Si 0.6283 2.7775 4.3222
Ti 3.0680 1.8808 0.0705
Si -0.3807 1.3669 2.5733



No. 6
4
Lattice="-1.6444 -2.1826 -0.9307 0.9275 -1.6925 -2.1469 3.7354 -6.9054 5.1167" Properties=species:S:1:pos:R:3 comment="UTiSi2 | the Alexandria database | PBE-GGA | optimized geometry" formation_energy_uncorrected_ev_per_atom=-0.141 pbc="T T T"
U 1.5093 -5.3903 1.0195
Si 2.3476 -8.2036 1.6587
Ti 0.0000 0.0000 0.0000
Si 0.6709 -2.5769 0.3804



Copy entry 5 word for word.
6
Lattice="3.9666 1.2380 0.0705 -0.1094 4.1539 0.0705 -1.8122 -2.5333 6.7544" Properties=species:S:1:pos:R:3 comment="UTiSi | the Alexandria database | PBE-GGA | optimized geometry" formation_energy_uncorrected_ev_per_atom=-0.006 pbc="T T T"
Ti 2.1619 0.6142 3.4477
U 1.0816 3.4111 1.3450
U -0.8340 0.7333 5.5504
Si 0.6283 2.7775 4.3222
Ti 3.0680 1.8808 0.0705
Si -0.3807 1.3669 2.5733



Question: Number 5 is which compound?
Answer: UTiSi



Question: Number 5 is which compound?
Answer: UTiSi



Question: Number 6 is which compound?
Answer: UTiSi2